[1]
A relaxed structure of Ce2Dy3Bi3, computed with PBE-GGA.

Results
The formation energy is -658.4 meV per atom. As for the symmetry: P6_3/mcm, No. 193.

Lattice parameters (Å, degrees): 9.3734 9.3734 6.3124 90.00 90.00 120.00
Closest atoms and distances in Å follow each position.
Fractional positions:
Ce (0.3333, 0.6667, 0.0000)  2 Ce 3.16, 6 Bi 3.33
Ce (0.3333, 0.6667, 0.5000)  2 Ce 3.16, 6 Bi 3.33
Ce (0.6667, 0.3333, 0.0000)  2 Ce 3.16, 6 Bi 3.33
Ce (0.6667, 0.3333, 0.5000)  2 Ce 3.16, 6 Bi 3.33
Dy (0.0000, 0.2482, 0.2500)  5 Bi 3.14-3.48
Dy (0.0000, 0.7518, 0.7500)  5 Bi 3.14-3.48
Dy (0.2482, 0.0000, 0.2500)  5 Bi 3.14-3.48
Dy (0.2482, 0.2482, 0.7500)  5 Bi 3.14-3.48
Dy (0.7518, 0.0000, 0.7500)  5 Bi 3.14-3.48
Dy (0.7518, 0.7518, 0.2500)  5 Bi 3.14-3.48
Bi (0.0000, 0.3810, 0.7500)  5 Dy 3.14-3.48, 4 Ce 3.33
Bi (0.0000, 0.6190, 0.2500)  5 Dy 3.14-3.48, 4 Ce 3.33
Bi (0.3810, 0.0000, 0.7500)  5 Dy 3.14-3.48, 4 Ce 3.33
Bi (0.3810, 0.3810, 0.2500)  5 Dy 3.14-3.48, 4 Ce 3.33
Bi (0.6190, 0.0000, 0.2500)  5 Dy 3.14-3.48, 4 Ce 3.33
Bi (0.6190, 0.6190, 0.7500)  5 Dy 3.14-3.48, 4 Ce 3.33

***

[2]
A relaxed structure of Ce4DyBi3, computed with PBE-GGA.

Results
The formation energy is -443.6 meV per atom. As for the symmetry: I4/mmm, No. 139.

Lattice parameters (Å, degrees): 8.3872 8.3872 8.3872 139.57 139.57 58.51
Closest atoms and distances in Å follow each position.
Fractional positions:
Ce (0.1313, 0.6313, 0.5000)  6 Bi 3.27-3.50, 1 Ce 3.47, 2 Dy 3.48
Ce (0.3687, 0.8687, 0.5000)  6 Bi 3.27-3.50, 1 Ce 3.47, 2 Dy 3.48
Ce (0.6313, 0.1313, 0.5000)  6 Bi 3.27-3.50, 1 Ce 3.47, 2 Dy 3.48
Ce (0.8687, 0.3687, 0.5000)  6 Bi 3.27-3.50, 1 Ce 3.47, 2 Dy 3.48
Dy (0.0000, 0.0000, 0.0000)  2 Bi 3.43, 8 Ce 3.48
Bi (0.2347, 0.2347, 0.0000)  8 Ce 3.27-3.50, 1 Dy 3.43
Bi (0.5000, 0.5000, 0.0000)  8 Ce 3.48, 2 Bi 3.88
Bi (0.7653, 0.7653, 0.0000)  8 Ce 3.27-3.50, 1 Dy 3.43

***

[3]
A relaxed structure of CeDy4Bi2, computed with PBE-GGA.

Results
The formation energy is -356.4 meV per atom. As for the symmetry: P2_1/m, No. 11.

Lattice parameters (Å, degrees): 8.0421 6.5765 8.9175 90.00 114.42 90.00
Closest atoms and distances in Å follow each position.
Fractional positions:
Ce (0.1077, 0.2500, 0.3596)  1 Dy 3.09, 4 Bi 3.16-3.32
Ce (0.8923, 0.7500, 0.6404)  1 Dy 3.09, 4 Bi 3.16-3.32
Dy (0.1924, 0.7500, 0.0804)  4 Bi 3.22-3.38, 1 Dy 3.59
Dy (0.3359, 0.0046, 0.7868)  3 Dy 3.23-3.47, 3 Bi 3.29-3.34
Dy (0.3359, 0.4954, 0.7868)  3 Dy 3.23-3.47, 3 Bi 3.29-3.34
Dy (0.4721, 0.7500, 0.5149)  2 Bi 3.05-3.32, 1 Ce 3.09, 2 Dy 3.34
Dy (0.5279, 0.2500, 0.4851)  2 Bi 3.05-3.32, 1 Ce 3.09, 2 Dy 3.34
Dy (0.6641, 0.5046, 0.2132)  3 Dy 3.23-3.47, 3 Bi 3.29-3.34
Dy (0.6641, 0.9954, 0.2132)  3 Dy 3.23-3.47, 3 Bi 3.29-3.34
Dy (0.8076, 0.2500, 0.9196)  4 Bi 3.22-3.38, 1 Dy 3.59
Bi (0.0555, 0.7500, 0.3726)  4 Dy 3.05-3.29, 3 Ce 3.16-3.32
Bi (0.2694, 0.2500, 0.0826)  1 Ce 3.23, 8 Dy 3.32-3.38
Bi (0.7306, 0.7500, 0.9174)  1 Ce 3.23, 8 Dy 3.32-3.38
Bi (0.9445, 0.2500, 0.6274)  4 Dy 3.05-3.29, 3 Ce 3.16-3.32

***

[4]
A relaxed structure of CeDyBi, computed with PBE-GGA.

Results
The formation energy is 51.2 meV per atom. As for the symmetry: Cmc2_1, No. 36.

Lattice parameters (Å, degrees): 7.9918 7.9918 7.2945 90.00 90.00 150.12
Closest atoms and distances in Å follow each position.
Fractional positions:
Ce (0.1109, 0.8891, 0.5000)  3 Bi 3.19-3.22
Ce (0.8891, 0.1109, 0.0000)  3 Bi 3.19-3.22
Dy (0.1211, 0.8789, 0.9964)  3 Bi 3.09-3.12
Dy (0.8789, 0.1211, 0.4964)  3 Bi 3.09-3.12
Bi (0.2809, 0.7191, 0.2508)  3 Dy 3.09-3.12, 3 Ce 3.19-3.22
Bi (0.7191, 0.2809, 0.7508)  3 Dy 3.09-3.12, 3 Ce 3.19-3.22

***

[5]
A relaxed structure of Ce2Dy5Bi4, computed with PBE-GGA.

Results
The formation energy is -343.4 meV per atom. As for the symmetry: C2/m, No. 12.

Lattice parameters (Å, degrees): 11.3635 11.3635 8.1143 106.50 106.50 21.39
Closest atoms and distances in Å follow each position.
Fractional positions:
Ce (0.2233, 0.2233, 0.3976)  2 Ce 2.74
Ce (0.7767, 0.7767, 0.6024)  2 Ce 2.74
Dy (0.0000, 0.0000, 0.0000)  4 Bi 3.12
Dy (0.3320, 0.3320, 0.9785)  4 Bi 3.10-3.29
Dy (0.3992, 0.3992, 0.5405)  4 Bi 3.05-3.29
Dy (0.6008, 0.6008, 0.4595)  4 Bi 3.05-3.29
Dy (0.6680, 0.6680, 0.0215)  4 Bi 3.10-3.29
Bi (0.1846, 0.1846, 0.7462)  5 Dy 3.17-3.29, 3 Ce 3.19-3.38
Bi (0.4646, 0.4646, 0.2398)  5 Dy 3.05-3.18
Bi (0.5354, 0.5354, 0.7602)  5 Dy 3.05-3.18
Bi (0.8154, 0.8154, 0.2538)  5 Dy 3.17-3.29, 3 Ce 3.19-3.38

***

[6]
A relaxed structure of CeDyBi2, computed with PBE-GGA.

Results
The formation energy is -714.8 meV per atom. As for the symmetry: R3m, No. 160. For the energy above the most stable polymorph in this dataset, the calculation gives 112.2 meV per atom.

Lattice parameters (Å, degrees): 8.1325 8.1325 8.1325 32.15 32.15 32.15
Closest atoms and distances in Å follow each position.
Fractional positions:
Ce (0.0000, 0.0000, 0.0000)  6 Bi 3.21-3.28
Dy (0.8287, 0.8287, 0.8287)  6 Bi 3.20-3.26
Bi (0.4150, 0.4150, 0.4150)  3 Dy 3.20, 3 Ce 3.21
Bi (0.5804, 0.5804, 0.5804)  3 Dy 3.26, 3 Ce 3.28

***

[7]
A relaxed structure of CeDyBi2, computed with PBE-GGA.

Results
The formation energy is -827.0 meV per atom. As for the symmetry: R-3m, No. 166. For the energy above the most stable polymorph in this dataset, the calculation gives 0.0 meV per atom.

Lattice parameters (Å, degrees): 7.8551 7.8551 7.8551 33.61 33.61 33.61
Closest atoms and distances in Å follow each position.
Fractional positions:
Ce (0.0000, 0.0000, 0.0000)  6 Bi 3.24
Dy (0.5000, 0.5000, 0.5000)  6 Bi 3.18
Bi (0.2477, 0.2477, 0.2477)  3 Dy 3.18, 3 Ce 3.24
Bi (0.7523, 0.7523, 0.7523)  3 Dy 3.18, 3 Ce 3.24

***

[8]
A relaxed structure of CeDyBi6, computed with PBE-GGA.

Results
The formation energy is -329.9 meV per atom. As for the symmetry: Amm2, No. 38.

Lattice parameters (Å, degrees): 4.6096 11.9660 11.9660 22.52 90.00 90.00
Closest atoms and distances in Å follow each position.
Fractional positions:
Ce (0.0000, 0.0000, 0.0000)  9 Bi 3.23-3.49
Dy (0.5000, 0.6491, 0.6491)  7 Bi 3.16-3.34
Bi (0.0000, 0.1378, 0.1378)  1 Ce 3.23, 4 Dy 3.29, 2 Bi 3.56
Bi (0.0000, 0.3923, 0.3923)  6 Bi 3.28-3.65, 2 Ce 3.44
Bi (0.0000, 0.7524, 0.7524)  6 Bi 3.31-3.56, 2 Dy 3.34
Bi (0.5000, 0.2717, 0.2717)  8 Bi 3.31-3.65, 2 Dy 3.71
Bi (0.5000, 0.5145, 0.5145)  1 Dy 3.16, 4 Ce 3.30
Bi (0.5000, 0.8884, 0.8884)  6 Bi 3.28-3.60, 2 Ce 3.49

***

[9]
A relaxed structure of Ce3Dy5Bi8, computed with PBE-GGA.

Results
The formation energy is -833.8 meV per atom. As for the symmetry: R-3m, No. 166.

Lattice parameters (Å, degrees): 9.0454 9.0454 9.0454 60.06 60.06 60.06
Closest atoms and distances in Å follow each position.
Fractional positions:
Ce (0.0000, 0.5000, 0.5000)  6 Bi 3.23
Ce (0.5000, 0.0000, 0.5000)  6 Bi 3.23
Ce (0.5000, 0.5000, 0.0000)  6 Bi 3.23
Dy (0.0000, 0.0000, 0.0000)  6 Bi 3.20
Dy (0.0000, 0.0000, 0.5000)  6 Bi 3.17
Dy (0.0000, 0.5000, 0.0000)  6 Bi 3.17
Dy (0.5000, 0.0000, 0.0000)  6 Bi 3.17
Dy (0.5000, 0.5000, 0.5000)  6 Bi 3.20
Bi (0.2457, 0.7500, 0.7500)  4 Dy 3.17-3.20, 2 Ce 3.23
Bi (0.2477, 0.2477, 0.2477)  3 Dy 3.17, 3 Ce 3.23
Bi (0.2500, 0.2500, 0.7543)  4 Dy 3.17-3.20, 2 Ce 3.23
Bi (0.2500, 0.7543, 0.2500)  4 Dy 3.17-3.20, 2 Ce 3.23
Bi (0.7500, 0.2457, 0.7500)  4 Dy 3.17-3.20, 2 Ce 3.23
Bi (0.7500, 0.7500, 0.2457)  4 Dy 3.17-3.20, 2 Ce 3.23
Bi (0.7523, 0.7523, 0.7523)  3 Dy 3.17, 3 Ce 3.23
Bi (0.7543, 0.2500, 0.2500)  4 Dy 3.17-3.20, 2 Ce 3.23

***

[10]
A relaxed structure of CeDyBi, computed with PBE-GGA.

Results
The formation energy is -232.5 meV per atom. As for the symmetry: P3m1, No. 156.

Lattice parameters (Å, degrees): 5.3629 5.3629 3.7645 90.00 90.00 120.00
Closest atoms and distances in Å follow each position.
Fractional positions:
Ce (0.0000, 0.0000, 0.0000)  3 Bi 3.38, 6 Dy 3.56-3.69, 2 Ce 3.76
Dy (0.6667, 0.3333, 0.4672)  3 Bi 3.16
Bi (0.3333, 0.6667, 0.6413)  3 Dy 3.16, 3 Ce 3.38

***

[11]
A relaxed structure of CeDy8Bi2, computed with PBE-GGA.

Results
The formation energy is -231.1 meV per atom. As for the symmetry: C2/m, No. 12.

Lattice parameters (Å, degrees): 9.3705 9.3705 8.2134 109.79 109.79 30.03
Closest atoms and distances in Å follow each position.
Fractional positions:
Ce (0.0000, 0.0000, 0.0000)  12 Dy 3.41-3.61
Dy (0.0929, 0.0929, 0.4669)  2 Bi 3.29, 6 Dy 3.49-3.59, 1 Ce 3.61
Dy (0.1816, 0.1816, 0.9291)  3 Bi 3.24-3.48, 7 Dy 3.37-3.57, 1 Ce 3.53
Dy (0.3512, 0.3512, 0.7853)  3 Bi 3.36-3.42, 7 Dy 3.56-3.66, 2 Ce 3.60
Dy (0.4564, 0.4564, 0.2437)  2 Ce 3.41, 8 Dy 3.41-3.72, 1 Bi 3.46
Dy (0.5436, 0.5436, 0.7563)  2 Ce 3.41, 8 Dy 3.41-3.72, 1 Bi 3.46
Dy (0.6488, 0.6488, 0.2147)  3 Bi 3.36-3.42, 7 Dy 3.56-3.66, 2 Ce 3.60
Dy (0.8184, 0.8184, 0.0709)  3 Bi 3.24-3.48, 7 Dy 3.37-3.57, 1 Ce 3.53
Dy (0.9071, 0.9071, 0.5331)  2 Bi 3.29, 6 Dy 3.49-3.59, 1 Ce 3.61
Bi (0.2851, 0.2851, 0.3405)  9 Dy 3.24-3.48
Bi (0.7149, 0.7149, 0.6595)  9 Dy 3.24-3.48